Here is crystalline AcLa2Y2Er2 at its relaxed geometry from the Alexandria database. Energies are from PBE.

Cell lengths 6.365, 6.365, 8.180 Å; angles 98.00, 98.00, 48.23 degrees
Positions (direct):
Ac: 0.000 0.000 0.000
La: 0.285 0.285 0.852
La: 0.715 0.715 0.148
Y: 0.142 0.142 0.431
Y: 0.858 0.858 0.569
Er: 0.426 0.426 0.297
Er: 0.574 0.574 0.703

## Properties
Crystal system = monoclinic
ΔE_f = 0.046 eV/atom